1.
Material: Na3HfAg
Method: DFT, PBE-GGA
State: optimized geometry

As for the density of states at the Fermi level: 6.4 states/eV per cell.

The structure belongs to space group Pm-3m (No. 221); the cell edges are 5.4154, 5.4154 and 5.4154 Å and the angles 90.00°, 90.00° and 90.00°. The inequivalent atoms are Na at (0.0000, 0.0000, 0.5000), Hf at (0.5000, 0.5000, 0.5000) and Ag at (0.0000, 0.0000, 0.0000).

2.
Material: Na3HfAg
Method: DFT, PBE-GGA
State: optimized geometry

As for the density of states at the Fermi level: 8.8 states/eV per cell.

The structure belongs to space group Pm-3m (No. 221); the cell edges are 6.1447, 6.1447 and 6.1447 Å and the angles 90.00°, 90.00° and 90.00°. The inequivalent atoms are Na at (0.0000, 0.0000, 0.5000), Hf at (0.0000, 0.0000, 0.0000) and Ag at (0.5000, 0.5000, 0.5000).

1 is favored, and the nearest alternative lies 466 meV/atom above it.

1.
Material: NaHf2Ag
Method: DFT, PBE-GGA
State: optimized geometry

As for the density of states at the Fermi level: 15.1 states/eV per cell.

The structure belongs to space group I-42d (No. 122); the cell edges are 4.0532, 4.0532 and 22.4428 Å and the angles 90.00°, 90.00° and 90.00°. The inequivalent atoms are Na at (0.0000, 0.0000, 0.0000), Hf at (0.2413, 0.2500, 0.6250) and Ag at (0.0000, 0.0000, 0.5000).

2.
Material: NaHf2Ag
Method: DFT, PBE-GGA
State: optimized geometry

As for the density of states at the Fermi level: 19.5 states/eV per cell.

The structure belongs to space group Fm-3m (No. 225); the cell edges are 6.9313, 6.9313 and 6.9313 Å and the angles 90.00°, 90.00° and 90.00°. The inequivalent atoms are Na at (0.0000, 0.0000, 0.0000), Hf at (0.2500, 0.2500, 0.2500) and Ag at (0.0000, 0.0000, 0.5000).

2 is favored, and the nearest alternative lies 118 meV/atom above it.

1.
Material: HfNb2Ag
Method: DFT, PBE-GGA
State: optimized geometry

As for the density of states at the Fermi level: 14.7 states/eV per cell.

The structure belongs to space group I-42d (No. 122); the cell edges are 3.9467, 3.9467 and 20.7723 Å and the angles 90.00°, 90.00° and 90.00°. The inequivalent atoms are Hf at (0.0000, 0.0000, 0.0000), Nb at (0.2426, 0.2500, 0.1250) and Ag at (0.0000, 0.0000, 0.5000).

2.
Material: HfNb2Ag
Method: DFT, PBE-GGA
State: optimized geometry

As for the density of states at the Fermi level: 22.2 states/eV per cell.

The structure belongs to space group Fm-3m (No. 225); the cell edges are 6.7011, 6.7011 and 6.7011 Å and the angles 90.00°, 90.00° and 90.00°. The inequivalent atoms are Hf at (0.0000, 0.0000, 0.0000), Nb at (0.2500, 0.2500, 0.2500) and Ag at (0.0000, 0.0000, 0.5000).

2 is favored, and the nearest alternative lies 189 meV/atom above it.

1.
Material: Hf2NbAg2
Method: DFT, PBE-GGA
State: optimized geometry

As for the density of states at the Fermi level: 14.5 states/eV per cell.

The structure belongs to space group P4/mbm (No. 127); the cell edges are 7.9484, 7.9484 and 3.1470 Å and the angles 90.00°, 90.00° and 90.00°. The inequivalent atoms are Hf at (0.1791, 0.3209, 0.0000), Nb at (0.0000, 0.0000, 0.5000) and Ag at (0.1213, 0.6213, 0.5000).

2.
Material: Hf2NbAg2
Method: DFT, PBE-GGA
State: optimized geometry

As for the density of states at the Fermi level: 6.6 states/eV per cell.

The structure belongs to space group Cmmm (No. 65); the cell edges are 3.6663, 17.2667 and 3.2159 Å and the angles 90.00°, 90.00° and 90.00°. The inequivalent atoms are Hf at (0.0000, 0.0962, 0.0000), Nb at (0.0000, 0.5000, 0.5000) and Ag at (0.0000, 0.3096, 0.5000).

2 is favored, and the nearest alternative lies 211 meV/atom above it.

1.
Material: Hf2NbAg
Method: DFT, PBE-GGA
State: optimized geometry

As for the density of states at the Fermi level: 7.6 states/eV per cell.

The structure belongs to space group Amm2 (No. 38); the cell edges are 3.3991, 3.2040 and 15.5943 Å and the angles 90.00°, 90.00° and 90.00°. The inequivalent atoms are Hf at (0.0000, 0.0000, 0.0000), Hf at (0.0000, 0.0000, 0.2249), Nb at (0.5000, 0.0000, 0.6126) and Ag at (0.5000, 0.0000, 0.8429).

2.
Material: Hf2NbAg
Method: DFT, PBE-GGA
State: optimized geometry

As for the density of states at the Fermi level: 19.2 states/eV per cell.

The structure belongs to space group Fm-3m (No. 225); the cell edges are 6.7922, 6.7922 and 6.7922 Å and the angles 90.00°, 90.00° and 90.00°. The inequivalent atoms are Hf at (0.2500, 0.2500, 0.2500), Nb at (0.0000, 0.0000, 0.0000) and Ag at (0.0000, 0.0000, 0.5000).

3.
Material: Hf2NbAg
Method: DFT, PBE-GGA
State: optimized geometry

As for the density of states at the Fermi level: 13.7 states/eV per cell.

The structure belongs to space group I-42d (No. 122); the cell edges are 4.1673, 4.1673 and 19.6726 Å and the angles 90.00°, 90.00° and 90.00°. The inequivalent atoms are Hf at (0.2431, 0.2500, 0.1250), Nb at (0.0000, 0.0000, 0.0000) and Ag at (0.0000, 0.0000, 0.5000).

2 is favored, and the nearest alternative lies 67 meV/atom above it.

1.
Material: HfNbAg2
Method: DFT, PBE-GGA
State: optimized geometry

As for the density of states at the Fermi level: 10.5 states/eV per cell.

The structure belongs to space group Fm-3m (No. 225); the cell edges are 6.7247, 6.7247 and 6.7247 Å and the angles 90.00°, 90.00° and 90.00°. The inequivalent atoms are Hf at (0.0000, 0.0000, 0.0000), Nb at (0.0000, 0.0000, 0.5000) and Ag at (0.2500, 0.2500, 0.2500).

2.
Material: HfNbAg2
Method: DFT, PBE-GGA
State: optimized geometry

As for the density of states at the Fermi level: 16.0 states/eV per cell.

The structure belongs to space group I-42d (No. 122); the cell edges are 7.6881, 7.6881 and 5.4379 Å and the angles 90.00°, 90.00° and 90.00°. The inequivalent atoms are Hf at (0.0000, 0.0000, 0.0000), Nb at (0.0000, 0.0000, 0.5000) and Ag at (0.2465, 0.7500, 0.6250).

1 is favored, and the nearest alternative lies 271 meV/atom above it.

1.
Material: NdHfAg
Method: DFT, PBE-GGA
State: optimized geometry

As for the density of states at the Fermi level: 6.0 states/eV per cell.

The structure belongs to space group P4/nmm (No. 129, origin choice 2); the cell edges are 3.8265, 3.8265 and 10.3252 Å and the angles 90.00°, 90.00° and 90.00°. The inequivalent atoms are Nd at (0.2500, 0.2500, 0.2391), Hf at (0.2500, 0.2500, 0.5601) and Ag at (0.2500, 0.2500, 0.9283).

2.
Material: NdHfAg
Method: DFT, PBE-GGA
State: optimized geometry

As for the density of states at the Fermi level: 8.6 states/eV per cell.

The structure belongs to space group I4mm (No. 107); the cell edges are 3.4301, 3.4301 and 12.5879 Å and the angles 90.00°, 90.00° and 90.00°. The inequivalent atoms are Nd at (0.0000, 0.0000, 0.0000), Hf at (0.0000, 0.0000, 0.6831) and Ag at (0.0000, 0.0000, 0.3137).

1 is favored, and the nearest alternative lies 12 meV/atom above it.

1.
Material: Hf2NiAg
Method: DFT, PBE-GGA
State: optimized geometry

As for the density of states at the Fermi level: 3.8 states/eV per cell.

The structure belongs to space group P4/mmm (No. 123); the cell edges are 3.1809, 3.1809 and 7.0940 Å and the angles 90.00°, 90.00° and 90.00°. The inequivalent atoms are Hf at (0.0000, 0.0000, 0.2225), Ni at (0.5000, 0.5000, 0.0000) and Ag at (0.5000, 0.5000, 0.5000).

2.
Material: Hf2NiAg
Method: DFT, PBE-GGA
State: optimized geometry

As for the density of states at the Fermi level: 22.4 states/eV per cell.

The structure belongs to space group Fm-3m (No. 225); the cell edges are 6.6071, 6.6071 and 6.6071 Å and the angles 90.00°, 90.00° and 90.00°. The inequivalent atoms are Hf at (0.2500, 0.2500, 0.2500), Ni at (0.0000, 0.0000, 0.0000) and Ag at (0.0000, 0.0000, 0.5000).

3.
Material: Hf2NiAg
Method: DFT, PBE-GGA
State: optimized geometry

As for the density of states at the Fermi level: 15.6 states/eV per cell.

The structure belongs to space group I-42d (No. 122); the cell edges are 4.1362, 4.1362 and 18.4617 Å and the angles 90.00°, 90.00° and 90.00°. The inequivalent atoms are Hf at (0.2400, 0.2500, 0.1250), Ni at (0.0000, 0.0000, 0.0000) and Ag at (0.0000, 0.0000, 0.5000).

1 is favored, and the nearest alternative lies 83 meV/atom above it.

1.
Material: HfNi2Ag
Method: DFT, PBE-GGA
State: optimized geometry

As for the density of states at the Fermi level: 2.2 states/eV per cell.

The structure belongs to space group P4/mmm (No. 123); the cell edges are 3.2734, 3.2734 and 5.6307 Å and the angles 90.00°, 90.00° and 90.00°. The inequivalent atoms are Hf at (0.0000, 0.0000, 0.0000), Ni at (0.5000, 0.5000, 0.2429) and Ag at (0.0000, 0.0000, 0.5000).

2.
Material: HfNi2Ag
Method: DFT, PBE-GGA
State: optimized geometry

As for the density of states at the Fermi level: 9.3 states/eV per cell.

The structure belongs to space group I-42d (No. 122); the cell edges are 6.8761, 6.8761 and 5.4907 Å and the angles 90.00°, 90.00° and 90.00°. The inequivalent atoms are Hf at (0.0000, 0.0000, 0.0000), Ni at (0.2438, 0.2500, 0.1250) and Ag at (0.0000, 0.0000, 0.5000).

1 is favored, and the nearest alternative lies 414 meV/atom above it.

1.
Material: Hf2Ni2Ag
Method: DFT, PBE-GGA
State: optimized geometry

As for the density of states at the Fermi level: 6.7 states/eV per cell.

The structure belongs to space group P4/mbm (No. 127); the cell edges are 7.1083, 7.1083 and 3.2477 Å and the angles 90.00°, 90.00° and 90.00°. The inequivalent atoms are Hf at (0.1701, 0.3299, 0.0000), Ni at (0.1254, 0.6254, 0.5000) and Ag at (0.0000, 0.0000, 0.5000).

2.
Material: Hf2Ni2Ag
Method: DFT, PBE-GGA
State: optimized geometry

As for the density of states at the Fermi level: 8.2 states/eV per cell.

The structure belongs to space group P4/mbm (No. 127); the cell edges are 7.5846, 7.5846 and 2.9950 Å and the angles 90.00°, 90.00° and 90.00°. The inequivalent atoms are Hf at (0.1547, 0.3453, 0.0000), Ni at (0.1327, 0.6327, 0.5000) and Ag at (0.0000, 0.0000, 0.0000).

1 is favored, and the nearest alternative lies 305 meV/atom above it.

1.
Material: Hf2TaNiAg
Method: DFT, PBE-GGA
State: optimized geometry

As for the density of states at the Fermi level: 7.2 states/eV per cell.

The structure belongs to space group P4/mmm (No. 123); the cell edges are 4.6953, 4.6953 and 4.6555 Å and the angles 90.00°, 90.00° and 90.00°. The inequivalent atoms are Hf at (0.0000, 0.5000, 0.0000), Ta at (0.0000, 0.0000, 0.5000), Ni at (0.5000, 0.5000, 0.0000) and Ag at (0.5000, 0.5000, 0.5000).

2.
Material: Hf2TaNiAg
Method: DFT, PBE-GGA
State: optimized geometry

As for the density of states at the Fermi level: 7.7 states/eV per cell.

The structure belongs to space group P4/mmm (No. 123); the cell edges are 5.0096, 5.0096 and 4.4827 Å and the angles 90.00°, 90.00° and 90.00°. The inequivalent atoms are Hf at (0.0000, 0.5000, 0.0000), Ta at (0.0000, 0.0000, 0.5000), Ni at (0.5000, 0.5000, 0.5000) and Ag at (0.5000, 0.5000, 0.0000).

1 is favored, and the nearest alternative lies 654 meV/atom above it.

1.
Material: HfAg3O
Method: DFT, PBE-GGA
State: optimized geometry

As for the density of states at the Fermi level: 9.3 states/eV per cell.

The structure belongs to space group Pm-3m (No. 221); the cell edges are 5.2883, 5.2883 and 5.2883 Å and the angles 90.00°, 90.00° and 90.00°. The inequivalent atoms are Hf at (0.0000, 0.0000, 0.0000), Ag at (0.0000, 0.0000, 0.5000) and O at (0.5000, 0.5000, 0.5000).

2.
Material: HfAg3O
Method: DFT, PBE-GGA
State: optimized geometry

As for the density of states at the Fermi level: 3.5 states/eV per cell.

The structure belongs to space group Pm-3m (No. 221); the cell edges are 4.4911, 4.4911 and 4.4911 Å and the angles 90.00°, 90.00° and 90.00°. The inequivalent atoms are Hf at (0.0000, 0.0000, 0.0000), Ag at (0.0000, 0.5000, 0.5000) and O at (0.5000, 0.5000, 0.5000).

2 is favored, and the nearest alternative lies 1278 meV/atom above it.

1.
Material: HfAgP2O
Method: DFT, PBE-GGA
State: optimized geometry

As for the density of states at the Fermi level: 2.5 states/eV per cell.

The structure belongs to space group P4/mmm (No. 123); the cell edges are 4.7330, 4.7330 and 3.9458 Å and the angles 90.00°, 90.00° and 90.00°. The inequivalent atoms are Hf at (0.0000, 0.0000, 0.0000), Ag at (0.5000, 0.5000, 0.5000), P at (0.0000, 0.5000, 0.5000) and O at (0.5000, 0.5000, 0.0000).

2.
Material: HfAgP2O
Method: DFT, PBE-GGA
State: optimized geometry

As for the density of states at the Fermi level: 4.4 states/eV per cell.

The structure belongs to space group P4/mmm (No. 123); the cell edges are 5.1927, 5.1927 and 3.8909 Å and the angles 90.00°, 90.00° and 90.00°. The inequivalent atoms are Hf at (0.0000, 0.0000, 0.0000), Ag at (0.5000, 0.5000, 0.5000), P at (0.0000, 0.5000, 0.0000) and O at (0.0000, 0.0000, 0.5000).

2 is favored, and the nearest alternative lies 814 meV/atom above it.